(1)
Below is a geometry-optimized Ac2Pm3PrS6 structure, with properties calculated at the GGA-PBE level.

Cell lengths 18.0666, 4.1063, 8.3479 Å; angles 90.00, 103.96, 90.00 degrees
Space group C2/m (No. 12)
Asymmetric unit:
Ac1 0.1650 0.0000 0.3305 x4
Pm1 0.0000 0.5000 0.5000 x2
Pm2 0.1664 0.0000 0.8345 x4
Pr1 0.0000 0.5000 0.0000 x2
S1 0.0047 0.0000 0.7473 x4
S2 0.1630 0.5000 0.5935 x4
S3 0.1679 0.5000 0.0715 x4

Values from the calculation:
Final energy, eV per atom: -6.346
Formation energy (no corrections), eV/atom: -2.012
Volume, Å³ per cell: 601



(2)
Below is a geometry-optimized AcPmPr2S4 structure, with properties calculated at the GGA-PBE level.

Cell lengths 7.1693, 4.1116, 7.2152 Å; angles 90.00, 109.17, 90.00 degrees
Space group P2/m (No. 10)
Asymmetric unit:
Ac1 0.0000 0.0000 0.0000 x1
Pm1 0.0000 0.5000 0.5000 x1
Pr1 0.5000 0.0000 0.5000 x1
Pr2 0.5000 0.5000 0.0000 x1
S1 0.2488 0.0000 0.7415 x2
S2 0.2555 0.5000 0.2604 x2

Values from the calculation:
Final energy, eV per atom: -6.373
Formation energy (no corrections), eV/atom: -2.007
Volume, Å³ per cell: 201



(3)
Below is a geometry-optimized Ac2PmPrS4 structure, with properties calculated at the GGA-PBE level.

Cell lengths 7.2520, 4.1543, 7.2968 Å; angles 90.00, 109.17, 90.00 degrees
Space group P2/m (No. 10)
Asymmetric unit:
Ac1 0.0000 0.0000 0.0000 x1
Ac2 0.5000 0.5000 0.0000 x1
Pm1 0.0000 0.5000 0.5000 x1
Pr1 0.5000 0.0000 0.5000 x1
S1 0.2413 0.0000 0.7335 x2
S2 0.2518 0.5000 0.2643 x2

Values from the calculation:
Final energy, eV per atom: -6.292
Formation energy (no corrections), eV/atom: -2.010
Volume, Å³ per cell: 208



Q: Among the records above, which one has the lowest formation energy (no corrections)?
A: Ac2Pm3PrS6